VASP calculation (PBE) on an optimized crystal structure of GaSi.

Cell and atoms, written as POSCAR:
```
GaSi
1.0
3.7264 0.0000 0.0000
-1.8632 3.2272 0.0000
0.0000 0.0000 7.2240
Ga Si
2 2
direct
0.3333 0.6667 0.0000
0.6667 0.3333 0.5000
0.3333 0.6667 0.6673
0.6667 0.3333 0.1673
```

Summary:
Magnetization   0.0000 μB per atom
Symmetry   No. 186
Electronic total energy   -15.7 eV per cell